Record 1
Crystalline LaPm2Sm at its relaxed geometry, computed with PBE-GGA.

Results
The relative energy among the computed polymorphs is 2.4 meV/atom. The calculated density is 6864 kg/m3. As for the total energy: -0.351 Ry per atom. The symmetry is P4/mmm. For the total magnetization, the calculation gives 0.000 μB per atom. For the formation energy from the elements, the calculation gives 18 meV per atom. The volume is 35.03 Å³ per atom.

Structure (extended XYZ):
```
4
Lattice="3.674 0.000 0.000 0.000 3.674 0.000 0.000 0.000 10.383" Properties=species:S:1:pos:R:3 pbc="T T T"
La 0.000 0.000 0.000
Pm 1.837 1.837 2.640
Pm 1.837 1.837 7.742
Sm 0.000 0.000 5.191
```

---

Record 2
Crystalline La3Pm4Sm2 at its relaxed geometry, computed with PBE-GGA.

Results
The relative energy among the computed polymorphs is 0.0 meV/atom. The calculated density is 6796 kg/m3. As for the total energy: -0.352 Ry per atom. The symmetry is P-1. For the total magnetization, the calculation gives 0.000 μB per atom. For the formation energy from the elements, the calculation gives 19 meV per atom. The volume is 35.23 Å³ per atom.

Structure (extended XYZ):
```
9
Lattice="6.363 0.000 0.000 -3.176 5.520 0.000 0.000 -3.657 9.026" Properties=species:S:1:pos:R:3 pbc="T T T"
La 0.000 0.000 0.000
La 1.057 1.842 3.013
La 2.130 0.021 6.013
Pm -2.113 3.676 3.011
Pm -0.006 0.027 9.025
Pm 3.193 1.836 0.000
Pm 5.301 -1.813 6.014
Sm -1.052 1.855 6.016
Sm 4.239 0.008 3.009
```

---

Record 3
Crystalline La8Pm5Sm at its relaxed geometry, computed with PBE-GGA.

Results
The calculated density is 6454 kg/m3. As for the total energy: -0.341 Ry per atom. The symmetry is I-4. For the total magnetization, the calculation gives 0.000 μB per atom. For the formation energy from the elements, the calculation gives 215 meV per atom. The volume is 36.51 Å³ per atom.

Structure (extended XYZ):
```
14
Lattice="-4.941 4.941 5.233 4.941 -4.941 5.233 4.941 4.941 -5.233" Properties=species:S:1:pos:R:3 pbc="T T T"
La 4.159 1.848 -0.058
La 0.691 1.696 1.597
La 3.093 -0.783 5.292
La 1.848 5.724 0.058
La -3.245 4.251 3.636
La 0.783 3.093 5.175
La 3.245 5.632 3.636
La -0.691 8.187 1.597
Pm 2.919 -1.028 1.852
Pm 5.970 -2.023 3.381
Pm 6.964 1.028 1.852
Pm 3.913 2.023 3.381
Pm 0.000 4.941 2.617
Sm 0.000 0.000 5.233
```

---

Record 4
Crystalline LaPm7Sm12 at its relaxed geometry, computed with PBE-GGA.

Results
The relative energy among the computed polymorphs is 0.0 meV/atom. The calculated density is 7022 kg/m3. As for the total energy: -0.332 Ry per atom. The symmetry is R-3. For the total magnetization, the calculation gives 0.000 μB per atom. For the formation energy from the elements, the calculation gives 221 meV per atom. The volume is 34.98 Å³ per atom.

Structure (extended XYZ):
```
20
Lattice="6.152 3.552 5.336 -6.152 3.552 5.336 0.000 -7.104 5.336" Properties=species:S:1:pos:R:3 pbc="T T T"
La 0.000 0.000 0.000
Pm -2.220 -4.917 6.679
Pm -5.368 -0.536 9.328
Pm -3.148 4.381 6.679
Pm 0.000 0.000 8.003
Pm 3.148 -4.381 9.328
Pm 5.368 0.536 6.679
Pm 2.220 4.917 9.328
Sm -1.480 -1.442 4.721
Sm -3.287 0.970 7.161
Sm -2.483 -2.362 8.846
Sm -0.509 2.003 4.721
Sm 0.804 -3.331 7.161
Sm 1.989 -0.561 4.721
Sm -1.989 0.561 11.285
Sm -0.804 3.331 8.846
Sm 0.509 -2.003 11.285
Sm 2.483 2.362 7.161
Sm 3.287 -0.970 8.846
Sm 1.480 1.442 11.285
```

---

Record 5
Crystalline La4Pm4Sm3 at its relaxed geometry, computed with PBE-GGA.

Results
The relative energy among the computed polymorphs is 15.0 meV/atom. The calculated density is 6747 kg/m3. As for the total energy: -0.343 Ry per atom. The symmetry is Amm2. For the total magnetization, the calculation gives 0.000 μB per atom. For the formation energy from the elements, the calculation gives 135 meV per atom. The volume is 35.50 Å³ per atom.

Structure (extended XYZ):
```
11
Lattice="10.930 0.000 0.000 0.000 2.929 6.100 0.000 -2.929 6.100" Properties=species:S:1:pos:R:3 pbc="T T T"
La 0.000 0.000 0.000
La 2.227 0.000 9.801
La 5.465 0.000 11.315
La 8.703 0.000 9.801
Pm 0.000 0.000 7.218
Pm 3.326 0.000 1.835
Pm 5.465 0.000 7.933
Pm 7.604 0.000 1.835
Sm 0.000 0.000 3.599
Sm 3.195 0.000 5.535
Sm 7.735 0.000 5.535
```

---

Record 6
Crystalline La4PmSm15 at its relaxed geometry, computed with PBE-GGA.

Results
The calculated density is 7099 kg/m3. As for the total energy: -0.349 Ry per atom. The symmetry is P4/mmm. For the total magnetization, the calculation gives 0.000 μB per atom. For the formation energy from the elements, the calculation gives 19 meV per atom. The volume is 34.57 Å³ per atom.

Structure (extended XYZ):
```
20
Lattice="5.177 0.000 0.000 0.000 5.177 0.000 0.000 0.000 25.793" Properties=species:S:1:pos:R:3 pbc="T T T"
La 0.000 0.000 2.585
La 0.000 0.000 7.744
La 0.000 0.000 18.049
La 0.000 0.000 23.209
Pm 0.000 0.000 12.897
Sm 0.000 2.589 0.000
Sm 0.000 2.589 5.169
Sm 0.000 2.589 10.347
Sm 0.000 2.589 15.446
Sm 0.000 2.589 20.625
Sm 2.589 0.000 0.000
Sm 2.589 0.000 5.169
Sm 2.589 0.000 10.347
Sm 2.589 0.000 15.446
Sm 2.589 0.000 20.625
Sm 2.589 2.589 2.583
Sm 2.589 2.589 7.765
Sm 2.589 2.589 12.897
Sm 2.589 2.589 18.028
Sm 2.589 2.589 23.210
```

---

Record 7
Crystalline La3Pm7Sm2 at its relaxed geometry, computed with PBE-GGA.

Results
The relative energy among the computed polymorphs is 174.4 meV/atom. The calculated density is 6506 kg/m3. As for the total energy: -0.334 Ry per atom. The symmetry is R-3m. For the total magnetization, the calculation gives 0.000 μB per atom. For the formation energy from the elements, the calculation gives 252 meV per atom. The volume is 36.85 Å³ per atom.

Structure (extended XYZ):
```
12
Lattice="3.348 1.933 11.385 -3.348 1.933 11.385 0.000 -3.866 11.385" Properties=species:S:1:pos:R:3 pbc="T T T"
La 0.000 0.000 0.000
La 0.000 0.000 5.136
La 0.000 0.000 29.020
Pm -1.691 -0.977 14.261
Pm 0.000 -1.953 19.895
Pm -1.691 0.977 19.895
Pm 0.000 0.000 17.078
Pm 1.691 -0.977 14.261
Pm 0.000 1.953 14.261
Pm 1.691 0.977 19.895
Sm 0.000 0.000 11.414
Sm 0.000 0.000 22.742
```

---

Record 8
Crystalline La8Pm2Sm at its relaxed geometry, computed with PBE-GGA.

Results
The relative energy among the computed polymorphs is 0.0 meV/atom. The calculated density is 6433 kg/m3. As for the total energy: -0.350 Ry per atom. The symmetry is C2/m. For the total magnetization, the calculation gives 0.000 μB per atom. For the formation energy from the elements, the calculation gives 117 meV per atom. The volume is 36.41 Å³ per atom.

Structure (extended XYZ):
```
11
Lattice="4.663 -8.482 0.000 4.663 8.482 0.000 -3.471 0.000 5.063" Properties=species:S:1:pos:R:3 pbc="T T T"
La -0.369 2.012 3.465
La 4.663 5.008 0.000
La -0.369 -2.012 3.465
La 3.230 0.000 1.019
La 2.625 0.000 4.044
La 6.224 2.012 1.599
La 4.663 -5.008 0.000
La 6.224 -2.012 1.599
Pm 2.928 3.227 2.532
Pm 2.928 -3.227 2.532
Sm 0.000 0.000 0.000
```

---

Record 9
Crystalline SrLaPmSm at its relaxed geometry, computed with PBE-GGA.

Results
The calculated density is 5608 kg/m3. As for the total energy: -0.279 Ry per atom. The symmetry is F-43m. For the total magnetization, the calculation gives 0.236 μB per atom. For the formation energy from the elements, the calculation gives 217 meV per atom. The volume is 38.63 Å³ per atom.

Structure (extended XYZ):
```
16
Lattice="8.519 0.000 0.000 0.000 8.519 0.000 0.000 0.000 8.519" Properties=species:S:1:pos:R:3 pbc="T T T"
Sr 0.000 0.000 0.000
Sr 0.000 4.259 4.259
Sr 4.259 0.000 4.259
Sr 4.259 4.259 0.000
La 2.130 2.130 2.130
La 2.130 6.389 6.389
La 6.389 2.130 6.389
La 6.389 6.389 2.130
Pm 0.000 0.000 4.259
Pm 0.000 4.259 0.000
Pm 4.259 0.000 0.000
Pm 4.259 4.259 4.259
Sm 2.130 2.130 6.389
Sm 2.130 6.389 2.130
Sm 6.389 2.130 2.130
Sm 6.389 6.389 6.389
```

---

Record 10
Crystalline LaTb2PmSm2 at its relaxed geometry, computed with PBE-GGA.

Results
The calculated density is 7261 kg/m3. As for the total energy: -0.329 Ry per atom. The symmetry is Pnnm. For the total magnetization, the calculation gives 0.000 μB per atom. For the formation energy from the elements, the calculation gives 258 meV per atom. The volume is 34.40 Å³ per atom.

Structure (extended XYZ):
```
12
Lattice="6.709 0.000 0.000 0.000 17.990 0.000 0.000 0.000 3.420" Properties=species:S:1:pos:R:3 pbc="T T T"
La 0.000 0.000 0.000
La 3.355 8.995 1.710
Tb 1.533 3.269 0.000
Tb 1.821 12.264 1.710
Tb 4.888 5.725 1.710
Tb 5.176 14.720 0.000
Pm 0.000 8.995 0.000
Pm 3.355 0.000 1.710
Sm 1.506 6.268 1.710
Sm 1.849 15.262 0.000
Sm 4.860 2.727 0.000
Sm 5.204 11.722 1.710
```

---

Record 11
Crystalline La2Tb4PmSm at its relaxed geometry, computed with PBE-GGA.

Results
The calculated density is 7456 kg/m3. As for the total energy: -0.346 Ry per atom. The symmetry is P2/m. For the total magnetization, the calculation gives 0.000 μB per atom. For the formation energy from the elements, the calculation gives 17 meV per atom. The volume is 33.66 Å³ per atom.

Structure (extended XYZ):
```
8
Lattice="6.281 0.000 0.000 0.000 3.642 0.000 -2.132 0.000 11.769" Properties=species:S:1:pos:R:3 pbc="T T T"
La 0.000 0.000 0.000
La -1.066 1.821 5.885
Tb -0.024 0.000 8.829
Tb 1.039 1.821 2.951
Tb 4.173 0.000 2.940
Tb 3.110 1.821 8.818
Pm 3.141 1.821 0.000
Sm 2.074 0.000 5.885
```

---

Question: What is the calculated density in the second record?
Answer: 6796 kg/m3

---

Question: Which of these has the highest formation energy from the elements?
Answer: LaTb2PmSm2

---

Question: Among the records above, which one has the lowest calculated density?
Answer: SrLaPmSm